11
Lattice="7.348 -2.244 0.000 7.348 2.244 0.000 -2.826 0.000 6.144" Properties=species:S:1:pos:R:3 comment="GGA-PBE Mg8IrPd2, relaxed" energy_ry_per_atom=-0.2430 e_form_mev_per_atom=-396 crystal_system=monoclinic pbc="T T T"
Mg -0.372 0.000 1.541
Mg 0.397 0.000 4.380
Mg 3.275 0.000 3.622
Mg 5.381 0.000 0.420
Mg 6.490 0.000 5.724
Mg 8.596 0.000 2.522
Mg 11.474 0.000 1.764
Mg 12.243 0.000 4.603
Ir 5.935 0.000 3.072
Pd 2.382 0.000 1.022
Pd 9.488 0.000 5.121

=====

12
Lattice="3.186 -3.182 0.000 3.186 3.182 0.000 -2.998 0.000 11.867" Properties=species:S:1:pos:R:3 comment="GGA-PBE Zr7Bi2IrN2, relaxed" energy_ry_per_atom=-0.6271 crystal_system=monoclinic pbc="T T T"
Zr 0.000 0.000 0.000
Zr 1.540 1.598 2.018
Zr -0.153 0.000 4.410
Zr 1.833 1.598 9.849
Zr 1.540 -1.598 2.018
Zr 3.526 0.000 7.457
Zr 1.833 -1.598 9.849
Bi 0.290 0.000 7.471
Bi 3.083 0.000 4.396
Ir 3.186 0.000 0.000
N -0.035 0.000 2.231
N 3.408 0.000 9.636

=====

4
Lattice="-2.086 2.086 3.992 2.086 -2.086 3.992 2.086 2.086 -3.992" Properties=species:S:1:pos:R:3 comment="GGA-PBE Si2TcPb, relaxed" energy_ry_per_atom=-0.4023 crystal_system=tetragonal pbc="T T T"
Si 0.000 0.000 0.000
Si 0.000 2.086 1.996
Tc 2.086 0.000 1.996
Pb 0.000 0.000 3.992

=====

6
Lattice="3.675 0.000 0.000 0.000 3.675 0.000 0.000 0.000 8.064" Properties=species:S:1:pos:R:3 comment="GGA-PBE TbAgF, relaxed" energy_ry_per_atom=-0.3686 crystal_system=tetragonal pbc="T T T"
Tb 0.919 0.919 1.581
Tb 2.756 2.756 6.483
Ag 0.919 0.919 4.786
Ag 2.756 2.756 3.279
F 0.919 2.756 0.000
F 2.756 0.919 0.000

=====

6
Lattice="2.920 -2.944 0.000 2.920 2.944 0.000 -0.113 0.000 8.678" Properties=species:S:1:pos:R:3 comment="GGA-PBE SbAsS, relaxed" energy_ry_per_atom=-0.3083 crystal_system=monoclinic pbc="T T T"
Sb 1.389 0.000 1.393
Sb 4.339 0.000 7.285
As 1.341 0.000 7.302
As 4.387 0.000 1.376
S 0.924 0.000 4.353
S 4.804 0.000 4.325

=====

12
Lattice="5.903 0.000 0.000 -2.951 5.112 0.000 0.000 0.000 6.202" Properties=species:S:1:pos:R:3 comment="GGA-PBE LiGe3Ir2, relaxed" energy_ry_per_atom=-0.4188 e_form_mev_per_atom=-117 crystal_system=trigonal pbc="T T T"
Li 0.000 3.408 1.097
Li 2.951 1.704 5.105
Ge 0.000 1.763 5.045
Ge -1.424 4.230 5.045
Ge 1.527 0.882 1.157
Ge 1.424 4.230 5.045
Ge 4.376 0.882 1.157
Ge 2.951 3.348 1.157
Ir 0.000 0.000 3.101
Ir -1.476 2.556 3.101
Ir 2.951 0.000 3.101
Ir 1.476 2.556 3.101

=====

10
Lattice="8.675 0.000 0.000 0.000 8.675 0.000 0.000 0.000 3.972" Properties=species:S:1:pos:R:3 comment="GGA-PBE RbAl2Bi2, relaxed" energy_ry_per_atom=-0.2323 e_form_mev_per_atom=83 crystal_system=tetragonal pbc="T T T"
Rb 0.000 0.000 0.000
Rb 4.337 4.337 0.000
Al 1.014 3.323 0.000
Al 3.323 7.660 0.000
Al 5.352 1.014 0.000
Al 7.660 5.352 0.000
Bi 1.325 5.662 1.986
Bi 3.013 1.325 1.986
Bi 5.662 7.350 1.986
Bi 7.350 3.013 1.986

=====

12
Lattice="9.846 -2.201 0.000 9.846 2.201 0.000 -2.331 0.000 8.834" Properties=species:S:1:pos:R:3 comment="GGA-PBE KPu2Np3Te6, relaxed" energy_ry_per_atom=-0.5925 crystal_system=monoclinic pbc="T T T"
K 0.000 0.000 0.000
Pu 4.963 0.000 5.857
Pu 12.399 0.000 2.977
Np -1.165 0.000 4.417
Np 6.219 0.000 1.495
Np 11.143 0.000 7.339
Te 1.895 0.000 5.153
Te 3.196 0.000 0.748
Te 8.117 0.000 6.484
Te 9.245 0.000 2.351
Te 14.166 0.000 8.087
Te 15.467 0.000 3.681

=====

Short version: calculated density = 4.9; 8.8; 8.6; 8.7; 5.1; 10.8; 6.2; 8.7 g cm⁻³, in the order given.